(1)
Crystalline AgRhAu2 at its relaxed geometry. Source: the Alexandria database, functional PBE-GGA.

```
4
Lattice="-2.1185 2.1185 3.7912 2.1185 -2.1185 3.7912 2.1185 2.1185 -3.7912" Properties=species:S:1:pos:R:3 pbc="T T T"
Au 2.1185 0.0000 1.8956
Au 0.0000 2.1185 1.8956
Ag 0.0000 0.0000 0.0000
Rh 0.0000 0.0000 3.7912
```

Results
The symmetry is I4/mmm, No. 139. The value obtained for the formation energy is 0.137 eV per atom. The calculation puts the excess energy over the best structure of this formula in the dataset at 56 meV/atom.

***

(2)
Crystalline PmEr3Tm7 at its relaxed geometry. Source: the Alexandria database, functional PBE-GGA.

```
11
Lattice="8.5018 0.0000 0.0000 0.0000 6.9649 0.0000 0.0000 -3.4824 6.0318" Properties=species:S:1:pos:R:3 pbc="T T T"
Er 6.6714 3.4824 0.0065
Er 6.6714 5.2180 3.0126
Er 6.6714 1.7469 3.0126
Tm 0.9980 0.0000 2.0229
Tm 0.9980 1.7305 5.0203
Tm 0.9980 -1.7305 5.0203
Tm 3.8056 3.4824 4.0067
Tm 3.8056 5.2111 1.0125
Tm 1.0057 3.4824 2.0106
Tm 3.8056 1.7538 1.0125
Pm 3.8063 0.0000 4.0212
```

Results
The symmetry is P3m1, No. 156. The value obtained for the formation energy is 0.201 eV per atom. The calculation puts the excess energy over the best structure of this formula in the dataset at 42 meV/atom.

***

(3)
Crystalline YGa2Ni at its relaxed geometry. Source: the Alexandria database, functional PBE-GGA.

```
16
Lattice="-2.1764 -3.8913 -3.0515 -0.6325 -3.8796 5.3985 -7.0838 2.9503 1.2902" Properties=species:S:1:pos:R:3 pbc="T T T"
Ni -5.5188 -2.5967 3.6828
Ni -4.3740 -2.2240 -0.0455
Ni -8.4498 -1.7033 -0.1489
Ni -1.4430 -3.1173 3.7862
Ga -3.4386 -2.7097 2.2346
Ga -3.6852 -4.2226 4.3399
Ga -6.6439 -1.7047 5.8028
Ga -3.2489 -3.1160 -2.1655
Ga -6.2075 -0.5980 -0.7026
Ga -6.3972 -0.1917 3.6975
Ga -6.4542 -2.1110 1.4027
Ga -3.4956 -4.6290 -0.0602
Y -1.2585 -2.3353 0.2395
Y -4.2340 0.1524 1.6786
Y -5.6588 -4.9731 1.9586
Y -8.6343 -2.4853 3.3978
```

Results
The symmetry is Pnma, No. 62. The value obtained for the formation energy is -0.606 eV per atom.

***

(4)
Crystalline TeAs2Cl at its relaxed geometry. Source: the Alexandria database, functional PBE-GGA.

```
4
Lattice="-0.6952 3.7766 -0.4640 -5.4342 -0.8398 1.3067 0.8802 0.6642 4.0874" Properties=species:S:1:pos:R:3 pbc="T T T"
As -3.0647 1.4684 0.4214
As 0.0000 0.0000 0.0000
Cl 0.0925 2.2204 1.8117
Te -2.2770 -0.0878 2.6971
```

Results
The symmetry is Pmmm, No. 47. The calculation puts the raw formation energy at 1.79 eV per formula unit. The calculation puts the excess energy over the best structure of this formula in the dataset at 584 meV/atom.

***

(5)
Crystalline V2SnBr6 at its relaxed geometry. Source: the Alexandria database, functional PBE-GGA.

```
9
Lattice="3.9623 0.0000 0.0000 -1.9811 7.0498 -2.6092 0.0000 0.1945 10.3232" Properties=species:S:1:pos:R:3 pbc="T T T"
Br 1.9811 2.3330 5.1589
Br 0.0000 0.8153 8.0856
Br 0.0000 4.3671 7.6418
Br 0.0000 4.9114 2.5551
Br 1.9811 6.4291 -0.3716
Br 1.9811 2.8773 0.0721
Sn 3.9623 0.0973 5.1616
V -0.0001 4.6541 -0.0867
V 1.9811 2.5903 7.8006
```

Results
The symmetry is C2/m, No. 12. The calculation puts the raw formation energy at -6.93 eV per formula unit.

***

(6)
Crystalline Nd6Sm4Y at its relaxed geometry. Source: the Alexandria database, functional PBE-GGA.

```
11
Lattice="-0.1786 5.4028 8.3905 -6.1481 -4.1206 -6.6965 0.7702 -9.4505 -3.1171" Properties=species:S:1:pos:R:3 pbc="T T T"
Nd -1.1431 0.8859 3.5285
Nd -3.1634 0.6411 0.8470
Nd 0.2958 -2.0238 2.6367
Nd -2.1619 -9.5105 -5.5546
Nd -4.6240 -7.6137 -6.8284
Nd -3.0055 -5.5011 -2.3824
Sm -2.0296 -2.9251 -0.4327
Sm -3.8965 -2.7145 -4.2849
Sm 0.4256 -6.0442 -2.0488
Sm -5.4339 -10.0556 -4.4705
Y 0.0000 0.0000 0.0000
```

Results
The symmetry is I-42m, No. 121. The value obtained for the formation energy is 0.282 eV per atom. The calculation puts the excess energy over the best structure of this formula in the dataset at 0 meV/atom.

***

(7)
Crystalline Ba3Rh at its relaxed geometry. Source: the Alexandria database, functional PBE-GGA.

```
4
Lattice="4.5346 -0.0154 0.0684 2.2755 3.9224 0.0684 2.1477 1.2321 11.1579" Properties=species:S:1:pos:R:3 pbc="T T T"
Rh 0.0000 0.0000 0.0000
Ba 2.2458 1.2884 1.6984
Ba 6.7121 3.8507 9.5964
Ba 4.4789 2.5696 5.6474
```

Results
The symmetry is C2/m, No. 12. The value obtained for the formation energy is -0.064 eV per atom.

***

(8)
Crystalline TiH2BrCl at its relaxed geometry. Source: the Alexandria database, functional PBE-GGA.

```
5
Lattice="-3.5553 -0.4246 0.5798 0.2098 -6.8109 -3.7016 0.7119 -1.6814 3.1341" Properties=species:S:1:pos:R:3 pbc="T T T"
Ti -1.3168 -4.4584 0.0061
Br 0.1049 -3.4054 -1.8508
H -1.7776 -0.2123 0.2899
H 0.3560 -0.8407 1.5670
Cl 0.0000 0.0000 0.0000
```

Results
The symmetry is P4/mmm, No. 123. The total energy comes out at -3.15 eV/atom.

***

Record order is preserved below.
Mass density: 14.75; 8.50; 6.79; 5.61; 4.00; 6.59; 4.32; 2.69 g/cm³
Record order is preserved below.
Magnetization: 0.00; 0.01; 0.00; 0.00; 6.00; 0.00; 0.00; 2.20 μB/cell